Entry 1:
First-principles (PBE) data for a relaxed structure of NbNi2H3, as listed in the Alexandria database.

Computed properties:
* V: 8.2 Å³ per atom
* DOS(E_F): 10.42 states/eV/cell
* crystal system: orthorhombic
* energy: -5.360 eV per atom
* total magnetization: 0.00 μB per formula unit

Cell: 2.935 7.109 9.378 Å, 90.00 90.00 90.01°
Fractional coordinates of all 24 atoms:
Nb  0.250  0.826  0.090
Nb  0.250  0.326  0.410
Nb  0.750  0.674  0.590
Nb  0.750  0.174  0.910
Ni  0.250  0.848  0.787
Ni  0.250  0.348  0.713
Ni  0.250  0.915  0.395
Ni  0.250  0.415  0.105
Ni  0.750  0.585  0.895
Ni  0.750  0.085  0.605
Ni  0.750  0.652  0.287
Ni  0.750  0.152  0.213
H  0.250  0.494  0.575
H  0.250  0.994  0.925
H  0.250  0.594  0.976
H  0.250  0.094  0.524
H  0.250  0.565  0.240
H  0.250  0.065  0.260
H  0.750  0.935  0.740
H  0.750  0.435  0.760
H  0.750  0.906  0.476
H  0.750  0.406  0.024
H  0.750  0.006  0.075
H  0.750  0.506  0.425

---

Entry 2:
First-principles (PBE) data for a relaxed structure of NbNiH3, as listed in the Alexandria database.

Computed properties:
* V: 7.2 Å³ per atom
* DOS(E_F): 1.93 states/eV/cell
* crystal system: cubic
* energy: -5.242 eV per atom
* total magnetization: 0.00 μB per formula unit

Cell: 3.298 3.298 3.298 Å, 90.00 90.00 90.00°
Fractional coordinates of all 5 atoms:
Ni  0.000  0.000  0.000
Nb  0.500  0.500  0.500
H  0.000  0.500  0.000
H  0.000  0.000  0.500
H  0.500  0.000  0.000

---

Entry 3:
First-principles (PBE) data for a relaxed structure of NbNiH, as listed in the Alexandria database.

Computed properties:
* V: 10.3 Å³ per atom
* offset from the most stable computed form: 65.8 meV/atom
* DOS(E_F): 7.37 states/eV/cell
* crystal system: orthorhombic
* energy: -6.559 eV per atom
* total magnetization: 0.00 μB per formula unit

Cell: 2.751 4.781 9.425 Å, 90.00 90.00 90.00°
Fractional coordinates of all 12 atoms:
Ni  0.500  0.162  0.892
Ni  0.500  0.662  0.608
Ni  0.000  0.338  0.108
Ni  0.000  0.838  0.392
Nb  0.500  0.341  0.355
Nb  0.500  0.841  0.145
Nb  0.000  0.159  0.645
Nb  0.000  0.659  0.855
H  0.500  0.491  0.000
H  0.500  0.991  0.500
H  0.000  0.009  0.000
H  0.000  0.509  0.500

---

Entry 4:
First-principles (PBE) data for a relaxed structure of Nb5NiH4, as listed in the Alexandria database.

Computed properties:
* V: 11.2 Å³ per atom
* DOS(E_F): 5.73 states/eV/cell
* crystal system: monoclinic
* energy: -7.048 eV per atom
* total magnetization: 0.00 μB per formula unit

Cell: 2.820 5.765 7.187 Å, 101.42 101.31 90.00°
Fractional coordinates of all 10 atoms:
Nb  0.161  0.332  0.323
Nb  0.162  0.826  0.324
Nb  0.838  0.174  0.676
Nb  0.500  0.500  0.000
Nb  0.839  0.668  0.677
Ni  0.500  0.000  0.000
H  0.626  0.061  0.252
H  0.999  0.235  0.998
H  0.374  0.939  0.748
H  0.001  0.765  0.002

---

Entry 5:
First-principles (PBE) data for a relaxed structure of NbNi2H2, as listed in the Alexandria database.

Computed properties:
* V: 8.6 Å³ per atom
* DOS(E_F): 3.10 states/eV/cell
* crystal system: tetragonal
* energy: -5.698 eV per atom
* total magnetization: 0.00 μB per formula unit

Cell: 3.206 3.206 4.754 Å, 70.29 70.29 90.00°
Fractional coordinates of all 5 atoms:
Ni  0.328  0.328  0.344
Ni  0.672  0.672  0.656
Nb  0.000  0.000  0.000
H  0.750  0.250  0.500
H  0.250  0.750  0.500

---

Entry 6:
First-principles (PBE) data for a relaxed structure of NbNi3H, as listed in the Alexandria database.

Computed properties:
* V: 10.5 Å³ per atom
* offset from the most stable computed form: 0.0 meV/atom
* DOS(E_F): 4.88 states/eV/cell
* crystal system: monoclinic
* energy: -6.326 eV per atom
* total magnetization: 0.00 μB per formula unit

Cell: 4.395 5.127 5.308 Å, 61.12 89.50 90.00°
Fractional coordinates of all 10 atoms:
Nb  0.929  0.004  0.711
Nb  0.455  0.646  0.428
Ni  0.941  0.495  0.232
Ni  0.941  0.492  0.735
Ni  0.444  0.155  0.907
Ni  0.443  0.158  0.404
Ni  0.941  0.992  0.232
Ni  0.444  0.657  0.907
H  0.192  0.325  0.070
H  0.192  0.825  0.070

---

Entry 7:
First-principles (PBE) data for a relaxed structure of NbNiH, as listed in the Alexandria database.

Computed properties:
* V: 10.4 Å³ per atom
* offset from the most stable computed form: 38.8 meV/atom
* DOS(E_F): 8.51 states/eV/cell
* crystal system: orthorhombic
* energy: -6.586 eV per atom
* total magnetization: 0.00 μB per formula unit

Cell: 6.168 7.137 2.823 Å, 90.00 90.00 90.00°
Fractional coordinates of all 12 atoms:
Nb  0.000  0.724  0.000
Nb  0.000  0.276  0.000
Nb  0.500  0.224  0.000
Nb  0.500  0.776  0.000
Ni  0.205  0.000  0.500
Ni  0.795  0.000  0.500
Ni  0.705  0.500  0.500
Ni  0.295  0.500  0.500
H  0.250  0.250  0.500
H  0.250  0.750  0.500
H  0.750  0.250  0.500
H  0.750  0.750  0.500

---

Entry 8:
First-principles (PBE) data for a relaxed structure of NbNiH, as listed in the Alexandria database.

Computed properties:
* V: 10.4 Å³ per atom
* offset from the most stable computed form: 47.2 meV/atom
* DOS(E_F): 2.24 states/eV/cell
* crystal system: tetragonal
* energy: -6.577 eV per atom
* total magnetization: 0.00 μB per formula unit

Cell: 2.913 2.913 3.683 Å, 90.00 90.00 90.00°
Fractional coordinates of all 3 atoms:
Nb  0.500  0.500  0.500
Ni  0.000  0.000  0.000
H  0.000  0.000  0.500

---

Entry 9:
First-principles (PBE) data for a relaxed structure of NbNiH, as listed in the Alexandria database.

Computed properties:
* V: 10.3 Å³ per atom
* offset from the most stable computed form: 0.0 meV/atom
* DOS(E_F): 6.99 states/eV/cell
* crystal system: orthorhombic
* energy: -6.624 eV per atom
* total magnetization: 0.00 μB per formula unit

Cell: 2.799 10.293 4.269 Å, 90.00 90.00 90.00°
Fractional coordinates of all 12 atoms:
Nb  0.000  0.157  0.250
Nb  0.000  0.843  0.750
Nb  0.500  0.657  0.250
Nb  0.500  0.343  0.750
Ni  0.000  0.435  0.250
Ni  0.000  0.565  0.750
Ni  0.500  0.935  0.250
Ni  0.500  0.065  0.750
H  0.000  0.809  0.250
H  0.000  0.191  0.750
H  0.500  0.309  0.250
H  0.500  0.691  0.750

---

Entry 10:
First-principles (PBE) data for a relaxed structure of NbNi2H4, as listed in the Alexandria database.

Computed properties:
* V: 7.2 Å³ per atom
* DOS(E_F): 10.18 states/eV/cell
* crystal system: tetragonal
* energy: -5.021 eV per atom
* total magnetization: 0.00 μB per formula unit

Cell: 5.151 5.151 5.151 Å, 116.34 116.34 96.47°
Fractional coordinates of all 14 atoms:
Nb  0.000  0.000  0.000
Nb  0.250  0.750  0.500
Ni  0.625  0.875  0.250
Ni  0.625  0.375  0.750
Ni  0.125  0.375  0.750
Ni  0.625  0.375  0.250
H  0.276  0.127  0.851
H  0.974  0.623  0.649
H  0.276  0.425  0.149
H  0.873  0.724  0.149
H  0.575  0.724  0.851
H  0.974  0.325  0.351
H  0.377  0.026  0.351
H  0.675  0.026  0.649

---

Entry 11:
First-principles (PBE) data for a relaxed structure of NbNi3H, as listed in the Alexandria database.

Computed properties:
* V: 19.3 Å³ per atom
* offset from the most stable computed form: 2061.3 meV/atom
* DOS(E_F): 6.25 states/eV/cell
* crystal system: cubic
* energy: -4.265 eV per atom
* total magnetization: 0.56 μB per formula unit

Cell: 4.590 4.590 4.590 Å, 90.00 90.00 90.00°
Fractional coordinates of all 5 atoms:
Ni  0.000  0.500  0.000
Ni  0.000  0.000  0.500
Ni  0.500  0.000  0.000
Nb  0.000  0.000  0.000
H  0.500  0.500  0.500

---

Entry 12:
First-principles (PBE) data for a relaxed structure of NbNiH, as listed in the Alexandria database.

Computed properties:
* V: 10.3 Å³ per atom
* offset from the most stable computed form: 64.7 meV/atom
* DOS(E_F): 3.71 states/eV/cell
* crystal system: monoclinic
* energy: -6.560 eV per atom
* total magnetization: 0.00 μB per formula unit

Cell: 4.776 2.716 4.854 Å, 90.00 101.28 90.00°
Fractional coordinates of all 6 atoms:
Ni  0.293  0.500  0.795
Ni  0.707  0.500  0.205
Nb  0.774  0.000  0.703
Nb  0.226  0.000  0.297
H  0.500  0.000  0.000
H  0.000  0.500  0.000

---

Entry 13:
First-principles (PBE) data for a relaxed structure of NbNiH, as listed in the Alexandria database.

Computed properties:
* V: 10.3 Å³ per atom
* offset from the most stable computed form: 44.1 meV/atom
* DOS(E_F): 4.68 states/eV/cell
* crystal system: orthorhombic
* energy: -6.580 eV per atom
* total magnetization: 0.00 μB per formula unit

Cell: 4.527 2.927 4.687 Å, 90.00 90.00 90.00°
Fractional coordinates of all 6 atoms:
Nb  0.250  0.500  0.209
Nb  0.750  0.500  0.791
Ni  0.250  0.000  0.668
Ni  0.750  0.000  0.332
H  0.000  0.000  0.000
H  0.500  0.000  0.000

---

Entry 14:
First-principles (PBE) data for a relaxed structure of NbNiH, as listed in the Alexandria database.

Computed properties:
* V: 10.3 Å³ per atom
* offset from the most stable computed form: 23.5 meV/atom
* DOS(E_F): 3.62 states/eV/cell
* crystal system: monoclinic
* energy: -6.601 eV per atom
* total magnetization: 0.00 μB per formula unit

Cell: 4.723 2.787 4.776 Å, 90.00 100.46 90.00°
Fractional coordinates of all 6 atoms:
Nb  0.759  0.000  0.221
Nb  0.241  0.000  0.779
Ni  0.704  0.500  0.705
Ni  0.296  0.500  0.295
H  0.000  0.500  0.500
H  0.000  0.500  0.000

---

Entry 15:
First-principles (PBE) data for a relaxed structure of NbNiH3, as listed in the Alexandria database.

Computed properties:
* V: 8.8 Å³ per atom
* DOS(E_F): 1.95 states/eV/cell
* crystal system: cubic
* energy: -4.814 eV per atom
* total magnetization: 0.00 μB per formula unit

Cell: 3.533 3.533 3.533 Å, 90.00 90.00 90.00°
Fractional coordinates of all 5 atoms:
Ni  0.500  0.500  0.500
Nb  0.000  0.000  0.000
H  0.000  0.500  0.000
H  0.000  0.000  0.500
H  0.500  0.000  0.000

---

Entry 16:
First-principles (PBE) data for a relaxed structure of Nb2NiHOs, as listed in the Alexandria database.

Computed properties:
* V: 12.7 Å³ per atom
* offset from the most stable computed form: 0.0 meV/atom
* DOS(E_F): 2.04 states/eV/cell
* crystal system: tetragonal
* energy: -8.274 eV per atom
* total magnetization: 0.00 μB per formula unit

Cell: 4.129 4.129 3.724 Å, 90.00 90.00 90.00°
Fractional coordinates of all 5 atoms:
Ni  0.000  0.000  0.500
Nb  0.000  0.500  0.000
Nb  0.500  0.000  0.000
Os  0.500  0.500  0.500
H  0.000  0.000  0.000

---

Entry 17:
First-principles (PBE) data for a relaxed structure of Nb2NiHOs, as listed in the Alexandria database.

Computed properties:
* V: 12.8 Å³ per atom
* offset from the most stable computed form: 75.7 meV/atom
* DOS(E_F): 2.70 states/eV/cell
* crystal system: tetragonal
* energy: -8.198 eV per atom
* total magnetization: 0.00 μB per formula unit

Cell: 4.067 4.067 3.877 Å, 90.00 90.00 90.00°
Fractional coordinates of all 5 atoms:
Ni  0.500  0.500  0.500
Nb  0.000  0.500  0.000
Nb  0.500  0.000  0.000
Os  0.000  0.000  0.500
H  0.000  0.000  0.000

---

Entry 18:
First-principles (PBE) data for a relaxed structure of Nb2NiPH, as listed in the Alexandria database.

Computed properties:
* V: 13.9 Å³ per atom
* DOS(E_F): 3.56 states/eV/cell
* crystal system: tetragonal
* energy: -6.640 eV per atom
* total magnetization: 0.00 μB per formula unit

Cell: 4.742 3.093 4.742 Å, 90.00 90.00 90.00°
Fractional coordinates of all 5 atoms:
Ni  0.000  0.000  0.000
Nb  0.000  0.000  0.500
Nb  0.500  0.000  0.000
H  0.000  0.500  0.000
P  0.500  0.500  0.500

---

Entry 19:
First-principles (PBE) data for a relaxed structure of NbNi2PH, as listed in the Alexandria database.

Computed properties:
* V: 12.2 Å³ per atom
* DOS(E_F): 4.73 states/eV/cell
* crystal system: tetragonal
* energy: -5.811 eV per atom
* total magnetization: 0.00 μB per formula unit

Cell: 4.498 3.011 4.498 Å, 90.00 90.00 90.00°
Fractional coordinates of all 5 atoms:
Ni  0.000  0.000  0.500
Ni  0.500  0.000  0.000
Nb  0.500  0.500  0.500
H  0.000  0.500  0.000
P  0.000  0.000  0.000

---

Entry 20:
First-principles (PBE) data for a relaxed structure of Nb2NiHPd, as listed in the Alexandria database.

Computed properties:
* V: 13.0 Å³ per atom
* offset from the most stable computed form: 48.9 meV/atom
* DOS(E_F): 4.37 states/eV/cell
* crystal system: tetragonal
* energy: -7.049 eV per atom
* total magnetization: 0.00 μB per formula unit

Cell: 4.027 4.027 4.016 Å, 90.00 90.00 90.00°
Fractional coordinates of all 5 atoms:
Ni  0.500  0.500  0.500
Nb  0.000  0.500  0.000
Nb  0.500  0.000  0.000
Pd  0.000  0.000  0.500
H  0.000  0.000  0.000

---

Entry 21:
First-principles (PBE) data for a relaxed structure of Nb2NiHPd, as listed in the Alexandria database.

Computed properties:
* V: 12.9 Å³ per atom
* offset from the most stable computed form: 0.0 meV/atom
* DOS(E_F): 4.67 states/eV/cell
* crystal system: tetragonal
* energy: -7.097 eV per atom
* total magnetization: 0.00 μB per formula unit

Cell: 4.050 4.050 3.935 Å, 90.00 90.00 90.00°
Fractional coordinates of all 5 atoms:
Ni  0.000  0.000  0.500
Nb  0.000  0.500  0.000
Nb  0.500  0.000  0.000
Pd  0.500  0.500  0.500
H  0.000  0.000  0.000

---

Entry 22:
First-principles (PBE) data for a relaxed structure of NbNiHPd2, as listed in the Alexandria database.

Computed properties:
* V: 12.6 Å³ per atom
* DOS(E_F): 5.40 states/eV/cell
* crystal system: tetragonal
* energy: -5.976 eV per atom
* total magnetization: 0.00 μB per formula unit

Cell: 3.896 3.896 4.136 Å, 90.00 90.00 90.00°
Fractional coordinates of all 5 atoms:
Ni  0.500  0.500  0.500
Nb  0.000  0.000  0.500
Pd  0.000  0.500  0.000
Pd  0.500  0.000  0.000
H  0.000  0.000  0.000

---

Entry 23:
First-principles (PBE) data for a relaxed structure of NbNi2HPt, as listed in the Alexandria database.

Computed properties:
* V: 11.5 Å³ per atom
* DOS(E_F): 4.23 states/eV/cell
* crystal system: tetragonal
* energy: -6.425 eV per atom
* total magnetization: 0.00 μB per formula unit

Cell: 3.833 3.833 3.930 Å, 90.00 90.00 90.00°
Fractional coordinates of all 5 atoms:
Ni  0.000  0.500  0.000
Ni  0.500  0.000  0.000
Nb  0.000  0.000  0.500
Pt  0.500  0.500  0.500
H  0.000  0.000  0.000

---

Entry 24:
First-principles (PBE) data for a relaxed structure of NbNiHPt2, as listed in the Alexandria database.

Computed properties:
* V: 16.2 Å³ per atom
* DOS(E_F): 4.50 states/eV/cell
* crystal system: tetragonal
* energy: -5.577 eV per atom
* total magnetization: 0.48 μB per formula unit

Cell: 4.914 3.350 4.914 Å, 90.00 90.00 90.00°
Fractional coordinates of all 5 atoms:
Ni  0.500  0.500  0.500
Nb  0.000  0.000  0.000
Pt  0.000  0.000  0.500
Pt  0.500  0.000  0.000
H  0.000  0.500  0.000

---

Entry 25:
First-principles (PBE) data for a relaxed structure of Nb2ReNiH, as listed in the Alexandria database.

Computed properties:
* V: 12.9 Å³ per atom
* offset from the most stable computed form: 0.0 meV/atom
* DOS(E_F): 3.88 states/eV/cell
* crystal system: tetragonal
* energy: -8.498 eV per atom
* total magnetization: 0.00 μB per formula unit

Cell: 4.350 4.350 3.412 Å, 90.00 90.00 90.00°
Fractional coordinates of all 5 atoms:
Re  0.500  0.500  0.500
Nb  0.000  0.500  0.000
Nb  0.500  0.000  0.000
H  0.000  0.000  0.000
Ni  0.000  0.000  0.500